AcDy2Zn2In2: optimized geometry, PBE.

```
data_AcDy2Zn2In2
_chemical_formula_sum 'Ac3 Dy6 Zn6 In6'
_space_group_name_H-M_alt 'R -3 m'
_space_group_IT_number 166
_space_group_name_Hall '-R 3 2"'
_cell_length_a 4.7803
_cell_length_b 4.7803
_cell_length_c 28.7030
_cell_angle_alpha 90.00
_cell_angle_beta 90.00
_cell_angle_gamma 120.00
loop_
_atom_site_label
_atom_site_type_symbol
_atom_site_fract_x
_atom_site_fract_y
_atom_site_fract_z
Ac1 Ac 0.0000 0.0000 0.0000
Dy1 Dy 0.0000 0.0000 0.1320
Zn1 Zn 0.0000 0.0000 0.4224
In1 In 0.0000 0.0000 0.2561
```

Output
The calculation puts the calculated formation energy at -2.05 eV/f.u. Its density of states at the Fermi level is 10.16 states/eV/cell.

***

Ta2CrRh: optimized geometry, PBE.

```
data_Ta2CrRh
_chemical_formula_sum 'Ta4 Cr2 Rh2'
_space_group_name_H-M_alt 'I m m 2'
_space_group_IT_number 44
_cell_length_a 3.2165
_cell_length_b 4.3558
_cell_length_c 8.9530
_cell_angle_alpha 90.00
_cell_angle_beta 90.00
_cell_angle_gamma 90.00
loop_
_space_group_symop_operation_xyz
'x,y,z'
'-x,-y,z'
'-x,y,z'
'x,-y,z'
'x+1/2,y+1/2,z+1/2'
'-x+1/2,-y+1/2,z+1/2'
'-x+1/2,y+1/2,z+1/2'
'x+1/2,-y+1/2,z+1/2'
loop_
_atom_site_label
_atom_site_type_symbol
_atom_site_fract_x
_atom_site_fract_y
_atom_site_fract_z
Ta1 Ta 0.0000 0.0000 0.0000
Ta2 Ta 0.0000 0.5000 0.2403
Cr1 Cr 0.0000 0.5000 0.7292
Rh1 Rh 0.0000 0.0000 0.4878
```

Output
The calculation puts the calculated formation energy at -0.49 eV/f.u. Its density of states at the Fermi level is 9.71 states/eV/cell.

***

Li2MgAsS4: optimized geometry, PBE.

```
data_Li2MgAsS4
_chemical_formula_sum 'Li8 Mg4 As4 S16'
_space_group_name_H-M_alt 'I m m a'
_space_group_IT_number 74
_space_group_name_Hall '-I 2b 2'
_cell_length_a 7.2272
_cell_length_b 7.4017
_cell_length_c 10.3474
_cell_angle_alpha 90.00
_cell_angle_beta 90.00
_cell_angle_gamma 90.00
loop_
_atom_site_label
_atom_site_type_symbol
_atom_site_fract_x
_atom_site_fract_y
_atom_site_fract_z
Li1 Li 0.0000 0.0000 0.0000
Li2 Li 0.2500 0.2500 0.2500
Mg1 Mg 0.0000 0.0000 0.5000
As1 As 0.2500 0.2500 0.7500
S1 S 0.0000 0.0098 0.7502
S2 S 0.2480 0.2500 0.5106
```

Output
The value obtained for the formation energy without anion corrections is -0.822 eV per atom. Its density of states at the Fermi level is 10.06 states/eV/cell.

***

KCuBr: optimized geometry, PBE.

```
data_KCuBr
_chemical_formula_sum 'K4 Cu4 Br4'
_space_group_name_H-M_alt 'F m m 2'
_space_group_IT_number 42
_space_group_name_Hall 'F 2 -2'
_cell_length_a 4.4654
_cell_length_b 7.0401
_cell_length_c 12.2279
_cell_angle_alpha 90.00
_cell_angle_beta 90.00
_cell_angle_gamma 90.00
loop_
_atom_site_label
_atom_site_type_symbol
_atom_site_fract_x
_atom_site_fract_y
_atom_site_fract_z
K1 K 0.0000 0.0000 0.0000
Cu1 Cu 0.0000 0.0000 0.2965
Br1 Br 0.0000 0.0000 0.7008
```

Output
The value obtained for the formation energy without anion corrections is -0.172 eV per atom. Its density of states at the Fermi level is 6.83 states/eV/cell.

***

NpOs2Pd: optimized geometry, PBE.

```
data_NpOs2Pd
_chemical_formula_sum 'Np1 Os2 Pd1'
_space_group_name_H-M_alt 'P 4/m m m'
_space_group_IT_number 123
_space_group_name_Hall '-P 4 2'
_cell_length_a 4.1131
_cell_length_b 4.1131
_cell_length_c 3.8805
_cell_angle_alpha 90.00
_cell_angle_beta 90.00
_cell_angle_gamma 90.00
loop_
_atom_site_label
_atom_site_type_symbol
_atom_site_fract_x
_atom_site_fract_y
_atom_site_fract_z
Np1 Np 0.0000 0.0000 0.0000
Os1 Os 0.0000 0.5000 0.5000
Pd1 Pd 0.5000 0.5000 0.0000
```

Output
The calculation puts the calculated formation energy at 0.14 eV/f.u. Its density of states at the Fermi level is 6.30 states/eV/cell.